Below is crystalline Ac8La5Y at its relaxed geometry, with properties calculated at the PBE level.

a = 9.156 Å, b = 9.156 Å, c = 9.156 Å
α = 110.73°, β = 106.98°, γ = 110.73°
Atoms (fractional coordinates):
Ac1 0.735 0.260 0.339
Ac2 0.525 0.605 0.265
Ac3 0.079 0.740 0.475
Ac4 0.932 0.103 0.663
Ac5 0.337 0.269 0.440
Ac6 0.560 0.897 0.829
Ac7 0.661 0.395 0.921
Ac8 0.171 0.731 0.068
La1 0.278 0.102 0.975
La2 0.873 0.898 0.176
La3 0.025 0.302 0.127
La4 0.500 0.000 0.500
La5 0.824 0.698 0.722
Y1 0.250 0.500 0.750

Summary:
* crystal system: tetragonal
* ΔE_f: 226 meV per atom
* SG: No. 82

Below is crystalline Cs2Ag2Sn at its relaxed geometry, with properties calculated at the PBE level.

a = 7.617 Å, b = 7.617 Å, c = 6.136 Å
α = 90.00°, β = 90.00°, γ = 90.00°
Atoms (fractional coordinates):
Cs1 0.820 0.320 0.500
Cs2 0.680 0.820 0.500
Cs3 0.180 0.680 0.500
Cs4 0.320 0.180 0.500
Sn1 0.000 0.000 0.000
Sn2 0.500 0.500 0.000
Ag1 0.138 0.362 0.000
Ag2 0.638 0.138 0.000
Ag3 0.362 0.862 0.000
Ag4 0.862 0.638 0.000

Summary:
* crystal system: tetragonal
* ΔE_f: 60 meV per atom
* relative energy among the computed polymorphs: 0.0000 eV per atom
* SG: No. 127